Material: ZrVGaCl2
Method: DFT, PBE
State: relaxed

Cell lengths 4.891, 5.680, 4.891 Å; angles 90.00, 90.00, 90.00 degrees
Last column: magnetic moment on the atom in μB.
Element x y z (fractional)
Cl1 0.000 0.000 0.500  0.03
Cl2 0.500 0.000 0.000  0.02
Zr1 0.000 0.000 0.000  -0.30
Ga1 0.000 0.500 0.000  -0.01
V1 0.500 0.500 0.500  3.07

Properties
SG: P4/mmm (123)
Electronic total energy (eV/atom): -4.738
Crystal system: tetragonal
ΔE_f (raw) (eV/atom): 0.139

=====

Material: TcPbAu2
Method: DFT, PBE
State: relaxed

Cell lengths 5.804, 5.804, 5.804 Å; angles 149.00, 127.75, 62.01 degrees
Last column: magnetic moment on the atom in μB.
Element x y z (fractional)
Pb1 0.492 0.492 0.000  -0.01
Au1 0.758 0.258 0.500  0.04
Au2 0.008 0.008 0.000  0.03
Tc1 0.242 0.742 0.500  1.62

Properties
Energy of formation (eV per atom): 0.513
SG: Imm2 (44)
Electronic total energy (eV/atom): -4.644
Crystal system: orthorhombic

=====

Material: PrInTc2O8
Method: DFT, PBE
State: relaxed

Cell lengths 5.250, 5.250, 6.814 Å; angles 112.66, 112.66, 90.00 degrees
Last column: magnetic moment on the atom in μB.
Element x y z (fractional)
O1 0.002 0.411 0.325  0.08
O2 0.589 0.677 0.675  0.08
O3 0.086 0.998 0.675  0.08
O4 0.668 0.244 0.838  0.06
O5 0.323 0.914 0.325  0.08
O6 0.170 0.593 0.838  0.06
O7 0.756 0.830 0.162  0.06
O8 0.407 0.332 0.162  0.06
In1 0.000 0.000 0.000  0.02
Tc1 0.250 0.750 0.500  1.23
Tc2 0.500 0.500 0.000  0.82
Pr1 0.750 0.250 0.500  0.05

Properties
SG: I-4 (82)
Electronic total energy (eV/atom): -7.383
Crystal system: tetragonal
ΔE_f (raw) (eV/atom): -1.723

=====

Material: TmTl4Pd15
Method: DFT, PBE
State: relaxed

Cell lengths 4.081, 4.081, 20.514 Å; angles 90.00, 90.00, 90.00 degrees
Element x y z (fractional)
Pd1 0.000 0.500 0.100
Pd2 0.500 0.500 0.600
Pd3 0.500 0.000 0.300
Pd4 0.000 0.500 0.500
Pd5 0.500 0.000 0.100
Pd6 0.000 0.500 0.900
Pd7 0.500 0.000 0.500
Pd8 0.500 0.500 0.000
Pd9 0.500 0.000 0.900
Pd10 0.500 0.500 0.199
Pd11 0.000 0.500 0.300
Pd12 0.500 0.500 0.801
Pd13 0.500 0.500 0.400
Pd14 0.500 0.000 0.700
Pd15 0.000 0.500 0.700
Tl1 0.000 0.000 0.400
Tl2 0.000 0.000 0.799
Tl3 0.000 0.000 0.600
Tl4 0.000 0.000 0.201
Tm1 0.000 0.000 0.000

Properties
Energy of formation (eV per atom): -0.332
SG: P4/mmm (123)
Electronic total energy (eV/atom): -4.924
Crystal system: tetragonal

=====

Material: CsCoCl2
Method: DFT, PBE
State: relaxed

Cell lengths 5.388, 5.388, 5.388 Å; angles 60.00, 60.00, 60.00 degrees
Last column: magnetic moment on the atom in μB.
Element x y z (fractional)
Cs1 0.500 0.500 0.500  0.00
Cl1 0.750 0.750 0.750  0.02
Cl2 0.250 0.250 0.250  0.02
Co1 0.000 0.000 0.000  2.06

Properties
Energy relative to the lowest polymorph listed for this composition (meV per atom): 748
SG: Fm-3m (225)
Electronic total energy (eV/atom): -3.145
Crystal system: cubic
ΔE_f (raw) (eV/atom): -0.232

=====

Material: KMnPt2Br
Method: DFT, PBE
State: relaxed

Cell lengths 5.059, 4.707, 5.059 Å; angles 90.00, 90.00, 90.00 degrees
Last column: magnetic moment on the atom in μB.
Element x y z (fractional)
Br1 0.000 0.000 0.000  0.00
Pt1 0.500 0.000 0.000  0.09
Pt2 0.000 0.000 0.500  0.10
K1 0.500 0.500 0.500  -0.01
Mn1 0.000 0.500 0.000  3.80

Properties
SG: P4/mmm (123)
Electronic total energy (eV/atom): -4.094
Crystal system: tetragonal
ΔE_f (raw) (eV/atom): 0.710

=====

Material: Y2BeCu3Ge4
Method: DFT, PBE
State: relaxed

Cell lengths 4.029, 4.029, 10.377 Å; angles 90.00, 90.00, 90.00 degrees
Element x y z (fractional)
Cu1 0.000 0.000 0.500
Cu2 0.500 0.000 0.859
Cu3 0.000 0.500 0.141
Y1 0.000 0.500 0.742
Y2 0.500 0.000 0.258
Ge1 0.000 0.500 0.369
Ge2 0.500 0.000 0.631
Ge3 0.500 0.500 0.000
Ge4 0.000 0.000 0.000
Be1 0.500 0.500 0.500

Properties
Energy of formation (eV per atom): -0.450
SG: P-4m2 (115)
Electronic total energy (eV/atom): -5.191
Crystal system: tetragonal

=====

Material: TbHo6Er
Method: DFT, PBE
State: relaxed

Cell lengths 6.679, 6.495, 6.856 Å; angles 103.15, 61.04, 89.95 degrees
Element x y z (fractional)
Ho1 0.575 0.769 0.519
Ho2 0.451 0.251 0.001
Ho3 0.549 0.749 0.999
Ho4 0.095 0.730 0.477
Ho5 0.905 0.270 0.523
Ho6 0.425 0.231 0.481
Tb1 0.000 0.000 0.000
Er1 0.000 0.500 0.000

Properties
Energy relative to the lowest polymorph listed for this composition (meV per atom): 192
Energy of formation (eV per atom): 0.210
SG: P-1 (2)
Electronic total energy (eV/atom): -4.372
Crystal system: triclinic

=====

Material: Sm4MgGa2
Method: DFT, PBE
State: relaxed

Cell lengths 7.826, 6.590, 8.252 Å; angles 90.00, 111.49, 90.00 degrees
Element x y z (fractional)
Ga1 0.250 0.250 0.993
Ga2 0.394 0.750 0.419
Ga3 0.606 0.250 0.581
Ga4 0.750 0.750 0.007
Sm1 0.400 0.510 0.751
Sm2 0.014 0.750 0.379
Sm3 0.806 0.750 0.673
Sm4 0.986 0.250 0.621
Sm5 0.400 0.990 0.751
Sm6 0.600 0.490 0.249
Sm7 0.194 0.250 0.327
Sm8 0.600 0.010 0.249
Mg1 0.186 0.750 0.045
Mg2 0.814 0.250 0.955

Properties
Energy relative to the lowest polymorph listed for this composition (meV per atom): 114
Energy of formation (eV per atom): -0.215
SG: P2_1/m (11)
Electronic total energy (eV/atom): -4.004
Crystal system: monoclinic

=====

Material: Zr3TeRh
Method: DFT, PBE
State: relaxed

Cell lengths 5.057, 5.057, 5.057 Å; angles 90.00, 90.00, 90.00 degrees
Element x y z (fractional)
Zr1 0.000 0.500 0.000
Zr2 0.500 0.000 0.000
Zr3 0.000 0.000 0.500
Rh1 0.000 0.000 0.000
Te1 0.500 0.500 0.500

Properties
Energy relative to the lowest polymorph listed for this composition (meV per atom): 0
SG: Pm-3m (221)
Electronic total energy (eV/atom): -7.244
Crystal system: cubic
ΔE_f (raw) (eV/atom): -0.016

=====

Material: BaZnCd2Pt
Method: DFT, PBE
State: relaxed

Cell lengths 5.295, 5.295, 4.960 Å; angles 90.00, 90.00, 90.00 degrees
Element x y z (fractional)
Cd1 0.000 0.500 0.000
Cd2 0.500 0.000 0.000
Zn1 0.000 0.000 0.500
Pt1 0.000 0.000 0.000
Ba1 0.500 0.500 0.500

Properties
Energy of formation (eV per atom): -0.378
SG: P4/mmm (123)
Electronic total energy (eV/atom): -2.592
Crystal system: tetragonal

=====

Material: AcTbMgPd
Method: DFT, PBE
State: relaxed

Cell lengths 5.388, 5.388, 5.388 Å; angles 60.00, 60.00, 60.00 degrees
Element x y z (fractional)
Tb1 0.250 0.250 0.250
Ac1 0.750 0.750 0.750
Mg1 0.500 0.500 0.500
Pd1 0.000 0.000 0.000

Properties
Energy of formation (eV per atom): -0.300
SG: F-43m (216)
Electronic total energy (eV/atom): -4.182
Crystal system: cubic